Record 1
# K3Pa2S7 GGA-PBE relaxed
# formation energy without anion corrections: -1.387 eV per atom
# symmetry: Cmmm, No. 65
# total moment: 0.0 Bohr magnetons per cell
# calculated density: 3.83 g/cm3
data_K3Pa2S7
_space_group_name_H-M_alt 'P 1'
_space_group_IT_number 1
_cell_length_a 5.2666
_cell_length_b 5.3130
_cell_length_c 12.7244
_cell_angle_alpha 102.05
_cell_angle_beta 90.00
_cell_angle_gamma 90.00
loop_
_space_group_symop_operation_xyz
'x,y,z'
loop_
_atom_site_label
_atom_site_type_symbol
_atom_site_fract_x
_atom_site_fract_y
_atom_site_fract_z
K1 K 0.5000 0.5000 0.0000
K2 K 0.5000 0.6902 0.3804
K3 K 0.5000 0.3098 0.6196
Pa1 Pa 0.0000 0.8934 0.7868
Pa2 Pa 0.0000 0.1066 0.2132
S1 S 0.0000 0.3932 0.7864
S2 S 0.0000 0.7916 0.5831
S3 S 0.0000 0.0000 0.0000
S4 S 0.0000 0.6068 0.2136
S5 S 0.5000 0.1022 0.2043
S6 S 0.5000 0.8978 0.7957
S7 S 0.0000 0.2084 0.4169

---

Record 2
# CdRu2Br GGA-PBE relaxed
# formation energy without anion corrections: 0.732 eV per atom
# symmetry: Pmmm, No. 47
# total moment: 0.0 Bohr magnetons per cell
# offset from the most stable computed form: 452 meV/atom
# calculated density: 8.93 g/cm3
data_CdRu2Br
_space_group_name_H-M_alt 'P 1'
_space_group_IT_number 1
_cell_length_a 4.1750
_cell_length_b 3.1059
_cell_length_c 5.6557
_cell_angle_alpha 89.96
_cell_angle_beta 90.00
_cell_angle_gamma 90.00
loop_
_space_group_symop_operation_xyz
'x,y,z'
loop_
_atom_site_label
_atom_site_type_symbol
_atom_site_fract_x
_atom_site_fract_y
_atom_site_fract_z
Ru1 Ru 0.0000 0.2498 0.9633
Ru2 Ru 0.0000 0.2502 0.5367
Br1 Br 0.5000 0.2500 0.2500
Cd1 Cd 0.5000 0.7500 0.7500

---

Record 3
# NdEr2ScTe6 GGA-PBE relaxed
# formation energy without anion corrections: -1.303 eV per atom
# symmetry: R3, No. 146
# total moment: 0.0 Bohr magnetons per cell
# calculated density: 6.09 g/cm3
data_NdEr2ScTe6
_space_group_name_H-M_alt 'P 1'
_space_group_IT_number 1
_cell_length_a 7.6313
_cell_length_b 7.6313
_cell_length_c 8.2421
_cell_angle_alpha 62.43
_cell_angle_beta 62.44
_cell_angle_gamma 60.00
loop_
_space_group_symop_operation_xyz
'x,y,z'
loop_
_atom_site_label
_atom_site_type_symbol
_atom_site_fract_x
_atom_site_fract_y
_atom_site_fract_z
Nd1 Nd 0.8215 0.8214 0.5357
Er1 Er 0.5104 0.5104 0.4688
Er2 Er 0.0070 0.0070 0.9790
Sc1 Sc 0.3254 0.3255 0.0236
Te1 Te 0.5893 0.2382 0.2443
Te2 Te 0.2383 0.9281 0.2443
Te3 Te 0.9281 0.5893 0.2442
Te4 Te 0.4033 0.7231 0.7584
Te5 Te 0.7231 0.1152 0.7584
Te6 Te 0.1152 0.4033 0.7584